Entry 1:
PrNbOs2 after structural relaxation. Source: Alexandria via LeMat-Bulk, functional PBE.

Properties
Energy = -37.28 eV per cell
Magnetization = 0.00 μB/cell
DOS at the Fermi energy = 2.054 states/eV/f.u.
E_form = 0.0073 eV/atom

a b c (Å): 3.230 3.230 7.328
angles (deg): 90.00 90.00 90.00
Fractional positions:
Pr 0.000 0.000 0.000
Nb 0.000 0.000 0.500
Os 0.500 0.500 0.295
Os 0.500 0.500 0.705


Entry 2:
Pr11Cd9Ru4 after structural relaxation. Source: Alexandria via LeMat-Bulk, functional PBE.

Properties
Energy = -104.78 eV per cell
Magnetization = 0.66 μB/cell
DOS at the Fermi energy = 18.627 states/eV/f.u.
E_form = -0.2862 eV/atom

a b c (Å): 13.317 13.317 3.908
angles (deg): 90.00 90.00 112.61
Fractional positions:
Pr 0.000 0.000 0.000
Pr 0.084 0.417 0.000
Pr 0.161 0.839 0.000
Pr 0.311 0.311 0.000
Pr 0.374 0.626 0.000
Pr 0.417 0.084 0.000
Pr 0.583 0.916 0.000
Pr 0.626 0.374 0.000
Pr 0.689 0.689 0.000
Pr 0.839 0.161 0.000
Pr 0.916 0.583 0.000
Cd 0.076 0.218 0.500
Cd 0.159 0.634 0.500
Cd 0.218 0.076 0.500
Cd 0.366 0.841 0.500
Cd 0.500 0.500 0.500
Cd 0.634 0.159 0.500
Cd 0.782 0.924 0.500
Cd 0.841 0.366 0.500
Cd 0.924 0.782 0.500
Ru 0.251 0.453 0.500
Ru 0.453 0.251 0.500
Ru 0.547 0.749 0.500
Ru 0.749 0.547 0.500


Entry 3:
Pm5PuAs6 after structural relaxation. Source: Alexandria via LeMat-Bulk, functional PBE.

Properties
Energy = -83.18 eV per cell
Magnetization = 4.91 μB/cell
DOS at the Fermi energy = 14.689 states/eV/f.u.
E_form = -1.4335 eV/atom

a b c (Å): 7.308 7.308 7.309
angles (deg): 99.60 99.60 119.98
Fractional positions:
Pm 0.000 0.000 0.000
Pm 0.166 0.834 0.500
Pm 0.332 0.668 0.000
Pm 0.668 0.332 0.000
Pm 0.834 0.166 0.500
Pu 0.500 0.500 0.500
As 0.090 0.418 0.253
As 0.255 0.255 0.747
As 0.418 0.090 0.253
As 0.582 0.910 0.747
As 0.745 0.745 0.253
As 0.910 0.582 0.747


Entry 4:
HfBeRh after structural relaxation. Source: Alexandria via LeMat-Bulk, functional PBE.

Properties
Energy = -22.65 eV per cell
Magnetization = 0.00 μB/cell
DOS at the Fermi energy = 2.245 states/eV/f.u.
E_form = -0.5399 eV/atom

a b c (Å): 4.095 4.095 3.098
angles (deg): 90.00 90.00 120.00
Fractional positions:
Hf 0.000 0.000 0.000
Be 0.333 0.667 0.500
Rh 0.667 0.333 0.500


Entry 5:
CaBI after structural relaxation. Source: Alexandria via LeMat-Bulk, functional PBE.

Properties
Energy = -46.44 eV per cell
Magnetization = 0.00 μB/cell
Raw formation energy = -0.460 eV/atom
DOS at the Fermi energy = 0.241 states/eV/f.u.

a b c (Å): 6.294 3.971 12.779
angles (deg): 90.00 102.64 90.00
Fractional positions:
Ca 0.077 0.000 0.152
Ca 0.423 0.500 0.848
Ca 0.577 0.500 0.152
Ca 0.923 0.000 0.848
B 0.136 0.500 0.999
B 0.364 0.000 0.001
B 0.636 0.000 0.999
B 0.864 0.500 0.001
I 0.192 0.000 0.679
I 0.308 0.500 0.321
I 0.692 0.500 0.679
I 0.808 0.000 0.321


Entry 6:
Rb3Er3BiTe8 after structural relaxation. Source: Alexandria via LeMat-Bulk, functional PBE.

Properties
Energy = -62.11 eV per cell
Magnetization = 0.00 μB/cell
Raw formation energy = -1.100 eV/atom
DOS at the Fermi energy = 9.210 states/eV/f.u.

a b c (Å): 8.834 8.860 10.145
angles (deg): 64.32 64.24 60.15
Fractional positions:
Rb 0.000 0.000 0.000
Rb 0.000 0.500 0.000
Rb 0.500 0.000 0.000
Er 0.000 0.500 0.500
Er 0.500 0.000 0.500
Er 0.500 0.500 0.500
Bi 0.000 0.000 0.500
Te 0.239 0.239 0.300
Te 0.239 0.722 0.300
Te 0.267 0.267 0.699
Te 0.278 0.761 0.700
Te 0.722 0.239 0.300
Te 0.733 0.733 0.301
Te 0.761 0.278 0.700
Te 0.761 0.761 0.700


Entry 7:
Na5Al2S5 after structural relaxation. Source: Alexandria via LeMat-Bulk, functional PBE.

Properties
Energy = -46.75 eV per cell
Magnetization = 0.00 μB/cell
Raw formation energy = -1.003 eV/atom
DOS at the Fermi energy = 1.870 states/eV/f.u.

a b c (Å): 6.650 6.650 10.551
angles (deg): 105.13 105.13 35.88
Fractional positions:
Na 0.000 0.000 0.000
Na 0.158 0.158 0.566
Na 0.255 0.255 0.870
Na 0.745 0.745 0.130
Na 0.842 0.842 0.434
Al 0.454 0.454 0.705
Al 0.546 0.546 0.295
S 0.146 0.146 0.295
S 0.395 0.395 0.125
S 0.500 0.500 0.500
S 0.605 0.605 0.875
S 0.854 0.854 0.705


Entry 8:
PmPuPd2 after structural relaxation. Source: Alexandria via LeMat-Bulk, functional PBE.

Properties
Energy = -126.88 eV per cell
Magnetization = 23.41 μB/cell
DOS at the Fermi energy = 13.540 states/eV/f.u.
E_form = -0.5629 eV/atom

a b c (Å): 7.131 7.131 7.131
angles (deg): 90.00 90.00 90.00
Fractional positions:
Pm 0.000 0.000 0.000
Pm 0.000 0.500 0.500
Pm 0.500 0.000 0.500
Pm 0.500 0.500 0.000
Pu 0.000 0.000 0.500
Pu 0.000 0.500 0.000
Pu 0.500 0.000 0.000
Pu 0.500 0.500 0.500
Pd 0.250 0.250 0.250
Pd 0.250 0.250 0.750
Pd 0.250 0.750 0.250
Pd 0.250 0.750 0.750
Pd 0.750 0.250 0.250
Pd 0.750 0.250 0.750
Pd 0.750 0.750 0.250
Pd 0.750 0.750 0.750


Entry 9:
MnNi2Sb2 after structural relaxation. Source: Alexandria via LeMat-Bulk, functional PBE.

Properties
Energy = -57.56 eV per cell
Magnetization = 7.25 μB/cell
Raw formation energy = 0.039 eV/atom
DOS at the Fermi energy = 3.765 states/eV/f.u.

a b c (Å): 6.764 6.764 3.646
angles (deg): 90.00 90.00 90.00
Fractional positions:
Mn 0.000 0.000 0.000
Mn 0.500 0.500 0.000
Ni 0.128 0.372 0.000
Ni 0.372 0.872 0.000
Ni 0.628 0.128 0.000
Ni 0.872 0.628 0.000
Sb 0.175 0.675 0.500
Sb 0.325 0.175 0.500
Sb 0.675 0.825 0.500
Sb 0.825 0.325 0.500


Entry 10:
Nd8CoP3Br4 after structural relaxation. Source: Alexandria via LeMat-Bulk, functional PBE.

Properties
Energy = -88.71 eV per cell
Magnetization = 0.00 μB/cell
Raw formation energy = -1.284 eV/atom
DOS at the Fermi energy = 9.439 states/eV/f.u.

a b c (Å): 8.756 8.756 8.756
angles (deg): 56.88 56.88 56.88
Fractional positions:
Nd 0.235 0.235 0.235
Nd 0.248 0.726 0.726
Nd 0.274 0.274 0.752
Nd 0.274 0.752 0.274
Nd 0.726 0.248 0.726
Nd 0.726 0.726 0.248
Nd 0.752 0.274 0.274
Nd 0.765 0.765 0.765
Co 0.500 0.500 0.500
P 0.000 0.000 0.500
P 0.000 0.500 0.000
P 0.500 0.000 0.000
Br 0.000 0.000 0.000
Br 0.000 0.500 0.500
Br 0.500 0.000 0.500
Br 0.500 0.500 0.000


Entry 11:
Hf3Zn5 after structural relaxation. Source: Alexandria via LeMat-Bulk, functional PBE.

Properties
Energy = -75.47 eV per cell
Magnetization = 0.00 μB/cell
DOS at the Fermi energy = 4.718 states/eV/f.u.
E_form = -0.1878 eV/atom

a b c (Å): 5.557 5.557 9.255
angles (deg): 90.00 90.00 74.90
Fractional positions:
Hf 0.137 0.863 0.750
Hf 0.297 0.297 0.000
Hf 0.297 0.297 0.500
Hf 0.703 0.703 0.000
Hf 0.703 0.703 0.500
Hf 0.863 0.137 0.250
Zn 0.011 0.415 0.750
Zn 0.181 0.819 0.047
Zn 0.181 0.819 0.453
Zn 0.415 0.011 0.250
Zn 0.464 0.536 0.250
Zn 0.536 0.464 0.750
Zn 0.585 0.989 0.750
Zn 0.819 0.181 0.547
Zn 0.819 0.181 0.953
Zn 0.989 0.585 0.250


Entry 12:
Pr5Bi2Pt after structural relaxation. Source: Alexandria via LeMat-Bulk, functional PBE.

Properties
Energy = -84.09 eV per cell
Magnetization = 0.00 μB/cell
DOS at the Fermi energy = 7.982 states/eV/f.u.
E_form = -0.5431 eV/atom

a b c (Å): 5.909 5.909 16.960
angles (deg): 90.00 90.00 118.46
Fractional positions:
Pr 0.078 0.922 0.605
Pr 0.078 0.922 0.895
Pr 0.248 0.752 0.250
Pr 0.415 0.585 0.614
Pr 0.415 0.585 0.886
Pr 0.585 0.415 0.114
Pr 0.585 0.415 0.386
Pr 0.752 0.248 0.750
Pr 0.922 0.078 0.105
Pr 0.922 0.078 0.395
Bi 0.256 0.744 0.061
Bi 0.256 0.744 0.439
Bi 0.744 0.256 0.561
Bi 0.744 0.256 0.939
Pt 0.232 0.768 0.750
Pt 0.768 0.232 0.250